# 1
Na3TlW: optimized geometry, PBE-GGA.

Summary:
total DFT energy (no corrections)	-2.948	eV/atom
magnetic moment	0.78	μB/f.u.
space-group type	Cmmm (65)

Cell lengths 13.6039, 13.6039, 3.2532 Å; angles 90.00, 90.00, 160.19 degrees
Positions (direct):
Na1 0.0540 0.9460 0.0000
Na2 0.2629 0.7371 0.5000
Na3 0.4454 0.5546 0.5000
Na4 0.5546 0.4454 0.5000
Na5 0.7371 0.2629 0.5000
Na6 0.9460 0.0540 0.0000
Tl1 0.3529 0.6471 0.0000
Tl2 0.6471 0.3529 0.0000
W1 0.1502 0.8498 0.5000
W2 0.8498 0.1502 0.5000

# 2
NaTlW: optimized geometry, PBE-GGA.

Summary:
total DFT energy (no corrections)	-3.952	eV/atom
magnetic moment	2.15	μB/f.u.
space-group type	F-43m (216)
ΔE to the lowest computed polymorph	0	meV/atom

Cell lengths 6.7032, 6.7032, 6.7032 Å; angles 90.00, 90.00, 90.00 degrees
Positions (direct):
Na1 0.0000 0.0000 0.0000
Na2 0.0000 0.5000 0.5000
Na3 0.5000 0.0000 0.5000
Na4 0.5000 0.5000 0.0000
Tl1 0.2500 0.2500 0.2500
Tl2 0.2500 0.7500 0.7500
Tl3 0.7500 0.2500 0.7500
Tl4 0.7500 0.7500 0.2500
W1 0.0000 0.0000 0.5000
W2 0.0000 0.5000 0.0000
W3 0.5000 0.0000 0.0000
W4 0.5000 0.5000 0.5000

# 3
Na4TlZn3: optimized geometry, PBE-GGA.

Summary:
total DFT energy (no corrections)	-1.407	eV/atom
space-group type	P-4m2 (115)

Cell lengths 5.0077, 5.0077, 7.1366 Å; angles 90.00, 90.00, 90.00 degrees
Positions (direct):
Na1 0.0000 0.0000 0.0000
Na2 0.0000 0.5000 0.7351
Na3 0.5000 0.0000 0.2649
Na4 0.5000 0.5000 0.5000
Tl1 0.5000 0.5000 0.0000
Zn1 0.0000 0.0000 0.5000
Zn2 0.0000 0.5000 0.2639
Zn3 0.5000 0.0000 0.7361

# 4
Na2TlZn: optimized geometry, PBE-GGA.

Summary:
total DFT energy (no corrections)	-1.598	eV/atom
space-group type	Pmma (51)

Cell lengths 5.1583, 5.1036, 7.3921 Å; angles 90.00, 90.00, 90.00 degrees
Positions (direct):
Na1 0.2500 0.0000 0.1125
Na2 0.2500 0.5000 0.3628
Na3 0.7500 0.0000 0.8875
Na4 0.7500 0.5000 0.6372
Tl1 0.2500 0.0000 0.6388
Tl2 0.7500 0.0000 0.3612
Zn1 0.2500 0.5000 0.8889
Zn2 0.7500 0.5000 0.1111

# 5
NaZrTl: optimized geometry, PBE-GGA.

Summary:
total DFT energy (no corrections)	-3.599	eV/atom
magnetic moment	0.00	μB/f.u.
space-group type	F-43m (216)
ΔE to the lowest computed polymorph	0	meV/atom

Cell lengths 6.9219, 6.9219, 6.9219 Å; angles 90.00, 90.00, 90.00 degrees
Positions (direct):
Na1 0.0000 0.0000 0.0000
Na2 0.0000 0.5000 0.5000
Na3 0.5000 0.0000 0.5000
Na4 0.5000 0.5000 0.0000
Zr1 0.0000 0.0000 0.5000
Zr2 0.0000 0.5000 0.0000
Zr3 0.5000 0.0000 0.0000
Zr4 0.5000 0.5000 0.5000
Tl1 0.2500 0.2500 0.2500
Tl2 0.2500 0.7500 0.7500
Tl3 0.7500 0.2500 0.7500
Tl4 0.7500 0.7500 0.2500

# 6
NaTm: optimized geometry, PBE-GGA.

Summary:
total DFT energy (no corrections)	-1.329	eV/atom
magnetic moment	0.28	μB/f.u.
space-group type	F-43m (216)
ΔE to the lowest computed polymorph	1267	meV/atom

Cell lengths 7.0578, 7.0578, 7.0578 Å; angles 90.00, 90.00, 90.00 degrees
Positions (direct):
Na1 0.0000 0.0000 0.0000
Na2 0.0000 0.5000 0.5000
Na3 0.5000 0.0000 0.5000
Na4 0.5000 0.5000 0.0000
Tm1 0.2500 0.2500 0.7500
Tm2 0.2500 0.7500 0.2500
Tm3 0.7500 0.2500 0.2500
Tm4 0.7500 0.7500 0.7500

# 7
NaTm2: optimized geometry, PBE-GGA.

Summary:
total DFT energy (no corrections)	-2.967	eV/atom
magnetic moment	0.27	μB/f.u.
space-group type	Fd-3m (227)
ΔE to the lowest computed polymorph	0	meV/atom

Cell lengths 6.5845, 6.5845, 6.5845 Å; angles 60.00, 60.00, 60.00 degrees
Positions (direct):
Na1 0.1250 0.1250 0.1250
Na2 0.8750 0.8750 0.8750
Tm1 0.0000 0.5000 0.5000
Tm2 0.5000 0.0000 0.5000
Tm3 0.5000 0.5000 0.0000
Tm4 0.5000 0.5000 0.5000

# 8
NaTm2: optimized geometry, PBE-GGA.

Summary:
total DFT energy (no corrections)	-1.000	eV/atom
magnetic moment	2.74	μB/f.u.
space-group type	Fd-3m (227)
ΔE to the lowest computed polymorph	1967	meV/atom

Cell lengths 9.5738, 9.5738, 9.5738 Å; angles 60.00, 60.00, 60.00 degrees
Positions (direct):
Na1 0.1250 0.1250 0.1250
Na2 0.8750 0.8750 0.8750
Tm1 0.0000 0.0000 0.0000
Tm2 0.0000 0.0000 0.5000
Tm3 0.0000 0.5000 0.0000
Tm4 0.5000 0.0000 0.0000